Entry 1:
## Rb4Nd3SnTe8 (PBE)

Data for a relaxed structure of Rb4Nd3SnTe8.

Cell lengths 10.099, 10.099, 10.099 Å; angles 54.69, 54.69, 54.69 degrees
Element x y z (fractional)
Rb  0.000  0.000  0.000
Rb  0.000  0.500  0.500
Rb  0.500  0.000  0.500
Rb  0.500  0.500  0.000
Nd  0.000  0.000  0.500
Nd  0.000  0.500  0.000
Nd  0.500  0.000  0.000
Sn  0.500  0.500  0.500
Te  0.235  0.235  0.235
Te  0.240  0.730  0.730
Te  0.270  0.270  0.760
Te  0.270  0.760  0.270
Te  0.730  0.240  0.730
Te  0.730  0.730  0.240
Te  0.760  0.270  0.270
Te  0.765  0.765  0.765

Computed properties:
Fermi-level density of states = 2.7 states/eV/f.u.
V = 39.89 Å³/atom
Total magnetization = 0.000 μB/atom
Space-group type = R-3m, No. 166
DFT total energy = -4.136 eV per atom

---

Entry 2:
## RbNdSnTe3 (PBE)

Data for a relaxed structure of RbNdSnTe3.

Cell lengths 9.614, 4.521, 12.166 Å; angles 90.00, 108.70, 90.00 degrees
Element x y z (fractional)
Rb  0.229  0.250  0.273
Rb  0.771  0.750  0.727
Nd  0.362  0.750  0.844
Nd  0.638  0.250  0.156
Sn  0.129  0.250  0.557
Sn  0.871  0.750  0.443
Te  0.110  0.250  0.789
Te  0.342  0.750  0.573
Te  0.396  0.750  0.110
Te  0.604  0.250  0.890
Te  0.658  0.250  0.427
Te  0.890  0.750  0.211

Computed properties:
V = 41.73 Å³/atom
Total magnetization = 0.000 μB/atom
Space-group type = P2_1/m, No. 11
DFT total energy = -4.205 eV per atom

---

Entry 3:
## Rb2NdSnTe4 (PBE)

Data for a relaxed structure of Rb2NdSnTe4.

Cell lengths 8.063, 4.557, 8.969 Å; angles 90.00, 106.83, 90.00 degrees
Element x y z (fractional)
Rb  0.000  0.000  0.000
Rb  0.500  0.500  0.000
Nd  0.000  0.500  0.500
Sn  0.500  0.000  0.500
Te  0.240  0.000  0.702
Te  0.272  0.500  0.302
Te  0.728  0.500  0.698
Te  0.760  0.000  0.298

Computed properties:
Fermi-level density of states = 3.4 states/eV/f.u.
V = 39.43 Å³/atom
Total magnetization = 0.000 μB/atom
Space-group type = P2/m, No. 10
DFT total energy = -3.863 eV per atom

---

Entry 4:
## Rb3Nd2SnTe6 (PBE)

Data for a relaxed structure of Rb3Nd2SnTe6.

Cell lengths 8.027, 8.027, 8.968 Å; angles 98.59, 98.59, 120.00 degrees
Element x y z (fractional)
Rb  0.000  0.000  0.000
Rb  0.332  0.668  0.000
Rb  0.668  0.332  0.000
Nd  0.166  0.834  0.500
Nd  0.834  0.166  0.500
Sn  0.500  0.500  0.500
Te  0.106  0.433  0.299
Te  0.240  0.240  0.702
Te  0.433  0.106  0.299
Te  0.567  0.894  0.701
Te  0.760  0.760  0.298
Te  0.894  0.567  0.701

Computed properties:
Fermi-level density of states = 4.6 states/eV/f.u.
V = 39.80 Å³/atom
Total magnetization = 0.000 μB/atom
Space-group type = C2/m, No. 12
DFT total energy = -4.040 eV per atom

---

Entry 5:
## RbSr2Nd (PBE)

Data for a relaxed structure of RbSr2Nd.

Cell lengths 4.131, 4.131, 12.628 Å; angles 90.00, 90.00, 90.00 degrees
Element x y z (fractional)
Rb  0.000  0.000  0.000
Sr  0.500  0.500  0.295
Sr  0.500  0.500  0.705
Nd  0.000  0.000  0.500

Computed properties:
Fermi-level density of states = 7.0 states/eV/f.u.
V = 53.88 Å³/atom
Total magnetization = 0.000 μB/atom
Space-group type = P4/mmm, No. 123
DFT total energy = -2.098 eV per atom

---

Entry 6:
## Rb4TbNd3Te8 (PBE)

Data for a relaxed structure of Rb4TbNd3Te8.

Cell lengths 10.098, 10.098, 10.098 Å; angles 54.51, 54.51, 54.51 degrees
Element x y z (fractional)
Rb  0.000  0.000  0.000
Rb  0.000  0.500  0.500
Rb  0.500  0.000  0.500
Rb  0.500  0.500  0.000
Tb  0.500  0.500  0.500
Nd  0.000  0.000  0.500
Nd  0.000  0.500  0.000
Nd  0.500  0.000  0.000
Te  0.235  0.235  0.235
Te  0.240  0.731  0.731
Te  0.269  0.269  0.760
Te  0.269  0.760  0.269
Te  0.731  0.240  0.731
Te  0.731  0.731  0.240
Te  0.760  0.269  0.269
Te  0.765  0.765  0.765

Computed properties:
V = 39.68 Å³/atom
Total magnetization = 0.000 μB/atom
Space-group type = R-3m, No. 166
DFT total energy = -4.399 eV per atom

---

Entry 7:
## Rb3Tb2NdTe6 (PBE)

Data for a relaxed structure of Rb3Tb2NdTe6.

Cell lengths 7.930, 7.930, 8.961 Å; angles 98.49, 98.49, 120.00 degrees
Element x y z (fractional)
Rb  0.000  0.000  0.000
Rb  0.335  0.665  0.000
Rb  0.665  0.335  0.000
Tb  0.167  0.833  0.500
Tb  0.833  0.167  0.500
Nd  0.500  0.500  0.500
Te  0.093  0.433  0.298
Te  0.227  0.227  0.701
Te  0.433  0.093  0.298
Te  0.567  0.907  0.702
Te  0.773  0.773  0.299
Te  0.907  0.567  0.702

Computed properties:
V = 38.86 Å³/atom
Total magnetization = 0.000 μB/atom
Space-group type = C2/m, No. 12
DFT total energy = -4.378 eV per atom

---

Entry 8:
## RbTb2Nd3Te6 (PBE)

Data for a relaxed structure of RbTb2Nd3Te6.

Cell lengths 10.132, 10.132, 9.233 Å; angles 103.17, 103.17, 25.48 degrees
Element x y z (fractional)
Rb  0.000  0.000  0.000
Tb  0.332  0.332  0.658
Tb  0.668  0.668  0.342
Nd  0.000  0.000  0.500
Nd  0.342  0.342  0.185
Nd  0.658  0.658  0.815
Te  0.169  0.169  0.576
Te  0.176  0.176  0.093
Te  0.493  0.493  0.732
Te  0.507  0.507  0.268
Te  0.824  0.824  0.907
Te  0.831  0.831  0.424

Computed properties:
Fermi-level density of states = 4.7 states/eV/f.u.
V = 33.04 Å³/atom
Total magnetization = 0.000 μB/atom
Space-group type = C2/m, No. 12
DFT total energy = -4.945 eV per atom